(1)
First-principles (PBEsol) data for crystalline CoCuNiS4 at its relaxed geometry, as listed in Alexandria.

Cell: 6.6298 6.6298 6.6298 Å, 120.24 119.64 90.11°
Positions (direct):
Co1 0.5000 0.0000 0.0000
Co2 0.5000 0.5000 0.5000
Cu1 0.1235 0.3735 0.7500
Cu2 0.8765 0.6265 0.2500
Ni1 0.0000 0.0000 0.0000
Ni2 0.5000 0.0000 0.5000
S1 0.2643 0.2412 0.4768
S2 0.2643 0.7875 0.0232
S3 0.2678 0.2397 0.0280
S4 0.2883 0.7603 0.5280
S5 0.7117 0.2397 0.4720
S6 0.7322 0.7603 0.9720
S7 0.7357 0.2125 0.9768
S8 0.7357 0.7588 0.5232

## Properties
Magnetization in μB/atom: 0.00
Density in kg/m3: 4983
Fermi-level density of states in states/eV/f.u.: 3.18
Formation energy from raw total energies in eV/atom: -0.460

(2)
First-principles (PBEsol) data for crystalline MgCd2In at its relaxed geometry, as listed in Alexandria.

Cell: 3.1371 5.5597 5.1393 Å, 90.00 93.89 90.00°
Positions (direct):
Mg1 0.0000 0.0000 0.0000
Cd1 0.2685 0.5000 0.2453
Cd2 0.7315 0.5000 0.7547
In1 0.5000 0.0000 0.5000

## Properties
Magnetization in μB/atom: 0.00
Density in kg/m3: 6758
Fermi-level density of states in states/eV/f.u.: 1.25
Energy of formation from the pure elements in eV/atom: -0.0304

(3)
First-principles (PBEsol) data for crystalline AlFe3I at its relaxed geometry, as listed in Alexandria.

Cell: 4.4121 4.4121 4.4121 Å, 90.00 90.00 90.00°
Positions (direct):
Al1 0.0000 0.0000 0.0000
Fe1 0.0000 0.0000 0.5000
Fe2 0.0000 0.5000 0.0000
Fe3 0.5000 0.0000 0.0000
I1 0.5000 0.5000 0.5000

## Properties
Magnetization in μB/atom: 1.29
Density in kg/m3: 6214
Fermi-level density of states in states/eV/f.u.: 4.83
Formation energy from raw total energies in eV/atom: 1.213

(4)
First-principles (PBEsol) data for crystalline RbZr2Ti at its relaxed geometry, as listed in Alexandria.

Cell: 5.1518 5.1518 5.1518 Å, 60.00 60.00 60.00°
Positions (direct):
Rb1 0.0000 0.0000 0.0000
Zr1 0.2500 0.2500 0.2500
Zr2 0.7500 0.7500 0.7500
Ti1 0.5000 0.5000 0.5000

## Properties
Magnetization in μB/atom: 0.82
Density in kg/m3: 5423
Fermi-level density of states in states/eV/f.u.: 6.20
Energy of formation from the pure elements in eV/atom: 1.1955

(5)
First-principles (PBEsol) data for crystalline Mn4CrOs at its relaxed geometry, as listed in Alexandria.

Cell: 4.5545 4.5545 4.5545 Å, 60.00 60.00 60.00°
Positions (direct):
Mn1 0.1247 0.1247 0.1247
Mn2 0.1247 0.1247 0.6258
Mn3 0.1247 0.6258 0.1247
Mn4 0.6258 0.1247 0.1247
Cr1 0.7500 0.7500 0.7500
Os1 0.5000 0.5000 0.5000

## Properties
Magnetization in μB/atom: 0.00
Density in kg/m3: 11483
Fermi-level density of states in states/eV/f.u.: 3.23
Energy of formation from the pure elements in eV/atom: 0.0283

(6)
First-principles (PBEsol) data for crystalline K2OsAu at its relaxed geometry, as listed in Alexandria.

Cell: 6.2963 6.2963 6.2963 Å, 154.47 132.32 54.86°
Positions (direct):
K1 0.2470 0.2470 0.0000
K2 0.7530 0.7530 0.0000
Os1 0.5000 0.0000 0.5000
Au1 0.0000 0.5000 0.5000

## Properties
Magnetization in μB/atom: 0.00
Density in kg/m3: 9766
Fermi-level density of states in states/eV/f.u.: 0.98
Energy above the lowest structure with this stoichiometry in meV per atom: 74
Energy of formation from the pure elements in eV/atom: 0.9671

(7)
First-principles (PBEsol) data for crystalline HfSb2Ir2 at its relaxed geometry, as listed in Alexandria.

Cell: 6.6207 6.6207 6.6207 Å, 143.99 143.99 51.84°
Positions (direct):
Hf1 0.0000 0.0000 0.0000
Sb1 0.2500 0.7500 0.5000
Sb2 0.7500 0.2500 0.5000
Ir1 0.3939 0.3939 0.0000
Ir2 0.6061 0.6061 0.0000

## Properties
Magnetization in μB/atom: 0.00
Density in kg/m3: 13428
Fermi-level density of states in states/eV/f.u.: 4.63
Formation energy from raw total energies in eV/atom: 0.070

(8)
First-principles (PBEsol) data for crystalline Sr2TaCrO6 at its relaxed geometry, as listed in Alexandria.

Cell: 5.5447 5.5447 5.5672 Å, 120.11 120.11 59.97°
Positions (direct):
Sr1 0.2495 0.2495 0.2479
Sr2 0.7505 0.7505 0.7521
Ta1 0.0000 0.0000 0.5000
Cr1 0.5000 0.5000 0.0000
O1 0.2307 0.7281 0.2283
O2 0.2512 0.2512 0.7112
O3 0.2719 0.7693 0.7717
O4 0.7281 0.2307 0.2283
O5 0.7488 0.7488 0.2888
O6 0.7693 0.2719 0.7717

## Properties
Magnetization in μB/atom: 0.30
Density in kg/m3: 6931
Formation energy from raw total energies in eV/atom: -2.846

(9)
First-principles (PBEsol) data for crystalline Ba3AsCl at its relaxed geometry, as listed in Alexandria.

Cell: 5.7420 5.7420 5.7420 Å, 90.00 90.00 90.00°
Positions (direct):
Ba1 0.0000 0.0000 0.5000
Ba2 0.0000 0.5000 0.0000
Ba3 0.5000 0.0000 0.0000
As1 0.5000 0.5000 0.5000
Cl1 0.0000 0.0000 0.0000

## Properties
Magnetization in μB/atom: 0.00
Density in kg/m3: 4582
Fermi-level density of states in states/eV/f.u.: 3.23
Formation energy from raw total energies in eV/atom: -0.811

(10)
First-principles (PBEsol) data for crystalline Tl2HgAs at its relaxed geometry, as listed in Alexandria.

Cell: 3.1718 3.1718 10.1733 Å, 90.00 90.00 90.00°
Positions (direct):
Tl1 0.0000 0.0000 0.2291
Tl2 0.0000 0.0000 0.7709
Hg1 0.5000 0.5000 0.5000
As1 0.5000 0.5000 0.0000

## Properties
Magnetization in μB/atom: 0.00
Density in kg/m3: 11102
Fermi-level density of states in states/eV/f.u.: 1.18
Energy above the lowest structure with this stoichiometry in meV per atom: 18
Energy of formation from the pure elements in eV/atom: 0.0819

(11)
First-principles (PBEsol) data for crystalline YHgPb2 at its relaxed geometry, as listed in Alexandria.

Cell: 4.7672 4.7672 4.4899 Å, 90.00 90.00 90.00°
Positions (direct):
Y1 0.0000 0.0000 0.0000
Hg1 0.5000 0.5000 0.0000
Pb1 0.0000 0.5000 0.5000
Pb2 0.5000 0.0000 0.5000

## Properties
Magnetization in μB/atom: 0.00
Density in kg/m3: 11455
Fermi-level density of states in states/eV/f.u.: 2.25
Energy of formation from the pure elements in eV/atom: -0.3966

(12)
First-principles (PBEsol) data for crystalline LaTa2Tl at its relaxed geometry, as listed in Alexandria.

Cell: 6.0764 6.0764 6.0764 Å, 148.26 129.34 61.03°
Positions (direct):
La1 0.0000 0.0000 0.0000
Ta1 0.2630 0.7630 0.5000
Ta2 0.4591 0.4591 0.0000
Tl1 0.7150 0.2150 0.5000

## Properties
Magnetization in μB/atom: 0.00
Density in kg/m3: 12946
Fermi-level density of states in states/eV/f.u.: 3.24
Energy of formation from the pure elements in eV/atom: 0.4928